Entry 1:
Below is NaAgMoBr6 after structural relaxation, with properties calculated at the PBE level.

a = 7.053 Å, b = 7.053 Å, c = 12.164 Å
α = 90.00°, β = 90.00°, γ = 120.00°
Fractional coordinates of all 18 atoms:
Na (0.333, 0.667, 0.250)
Na (0.667, 0.333, 0.750)
Ag (0.000, 0.000, 0.000)
Ag (0.000, 0.000, 0.500)
Mo (0.333, 0.667, 0.750)
Mo (0.667, 0.333, 0.250)
Br (0.039, 0.370, 0.627)
Br (0.039, 0.669, 0.873)
Br (0.331, 0.370, 0.873)
Br (0.331, 0.961, 0.627)
Br (0.370, 0.039, 0.127)
Br (0.370, 0.331, 0.373)
Br (0.630, 0.669, 0.627)
Br (0.630, 0.961, 0.873)
Br (0.669, 0.039, 0.373)
Br (0.669, 0.630, 0.127)
Br (0.961, 0.331, 0.127)
Br (0.961, 0.630, 0.373)

Summary:
Density of states at the Fermi level = 6.7 states/eV/f.u.
ΔE_f (raw) = -0.658 eV/atom

Entry 2:
Below is Ag2MoPBr after structural relaxation, with properties calculated at the PBE level.

a = 4.973 Å, b = 4.973 Å, c = 5.221 Å
α = 90.00°, β = 90.00°, γ = 90.00°
Fractional coordinates of all 5 atoms:
Ag (0.000, 0.500, 0.000)
Ag (0.500, 0.000, 0.000)
Mo (0.000, 0.000, 0.500)
P (0.500, 0.500, 0.500)
Br (0.500, 0.500, 0.000)

Summary:
Density of states at the Fermi level = 3.0 states/eV/f.u.
ΔE_f (raw) = 1.570 eV/atom

Entry 3:
Below is RbAg2MoBr8 after structural relaxation, with properties calculated at the PBE level.

a = 6.639 Å, b = 7.462 Å, c = 9.200 Å
α = 71.93°, β = 82.62°, γ = 85.34°
Fractional coordinates of all 12 atoms:
Rb (0.000, 0.000, 0.000)
Ag (0.479, 0.523, 0.814)
Ag (0.521, 0.477, 0.186)
Mo (0.000, 0.500, 0.500)
Br (0.070, 0.500, 0.768)
Br (0.161, 0.811, 0.385)
Br (0.339, 0.326, 0.469)
Br (0.497, 0.210, 0.048)
Br (0.503, 0.790, 0.952)
Br (0.661, 0.674, 0.531)
Br (0.839, 0.189, 0.615)
Br (0.930, 0.500, 0.232)

Summary:
Density of states at the Fermi level = 8.8 states/eV/f.u.
ΔE_f (raw) = -0.617 eV/atom

Entry 4:
Below is AgSb2MoBr after structural relaxation, with properties calculated at the PBE level.

a = 5.366 Å, b = 5.366 Å, c = 5.187 Å
α = 90.00°, β = 90.00°, γ = 90.00°
Fractional coordinates of all 5 atoms:
Ag (0.000, 0.000, 0.000)
Sb (0.000, 0.500, 0.000)
Sb (0.500, 0.000, 0.000)
Mo (0.500, 0.500, 0.500)
Br (0.000, 0.000, 0.500)

Summary:
Density of states at the Fermi level = 3.1 states/eV/f.u.
ΔE_f (raw) = 1.159 eV/atom

Entry 5:
Below is AgMoSeBr2 after structural relaxation, with properties calculated at the PBE level.

a = 5.311 Å, b = 5.311 Å, c = 4.876 Å
α = 90.00°, β = 90.00°, γ = 90.00°
Fractional coordinates of all 5 atoms:
Ag (0.000, 0.000, 0.000)
Mo (0.500, 0.500, 0.500)
Se (0.500, 0.500, 0.000)
Br (0.000, 0.500, 0.500)
Br (0.500, 0.000, 0.500)

Summary:
Density of states at the Fermi level = 2.4 states/eV/f.u.
ΔE_f (raw) = 0.184 eV/atom

Entry 6:
Below is AgMoSe2Br after structural relaxation, with properties calculated at the PBE level.

a = 4.857 Å, b = 4.857 Å, c = 5.527 Å
α = 90.00°, β = 90.00°, γ = 90.00°
Fractional coordinates of all 5 atoms:
Ag (0.000, 0.000, 0.000)
Mo (0.500, 0.500, 0.500)
Se (0.000, 0.500, 0.500)
Se (0.500, 0.000, 0.500)
Br (0.500, 0.500, 0.000)

Summary:
Density of states at the Fermi level = 5.3 states/eV/f.u.
ΔE_f (raw) = 0.220 eV/atom